[1]
# BeSb2Ir (PBE, relaxed)
data_BeSb2Ir
_chemical_formula_sum 'Be1 Sb2 Ir1'
_symmetry_space_group_name_H-M 'P 4/m m m'
_symmetry_Int_Tables_number 123
_symmetry_space_group_name_Hall '-P 4 2'
_cell_length_a 3.178
_cell_length_b 3.178
_cell_length_c 7.302
_cell_angle_alpha 90.00
_cell_angle_beta 90.00
_cell_angle_gamma 90.00
loop_
_atom_site_label
_atom_site_type_symbol
_atom_site_fract_x
_atom_site_fract_y
_atom_site_fract_z
Be1 Be 0.000 0.000 0.000
Sb1 Sb 0.500 0.500 0.253
Ir1 Ir 0.000 0.000 0.500
# DFT total energy ... -4.79 eV/atom
# Formation energy from raw total energies ... 1.66 eV/f.u.
# D(E_F) ... 0.93 states/eV per cell
# V ... 18.44 Å³/atom

***

[2]
# PmHoZn3 (PBE, relaxed)
data_PmHoZn3
_chemical_formula_sum 'Pm4 Ho4 Zn12'
_symmetry_space_group_name_H-M 'C 1 2/m 1'
_symmetry_Int_Tables_number 12
_cell_length_a 14.369
_cell_length_b 4.864
_cell_length_c 6.382
_cell_angle_alpha 90.00
_cell_angle_beta 99.81
_cell_angle_gamma 90.00
loop_
_symmetry_equiv_pos_as_xyz
'x,y,z'
'-x,-y,-z'
'-x,y,-z'
'x,-y,z'
'x+1/2,y+1/2,z'
'-x+1/2,-y+1/2,-z'
'-x+1/2,y+1/2,-z'
'x+1/2,-y+1/2,z'
loop_
_atom_site_label
_atom_site_type_symbol
_atom_site_fract_x
_atom_site_fract_y
_atom_site_fract_z
Pm1 Pm 0.112 0.000 0.453
Ho1 Ho 0.180 0.500 0.107
Zn1 Zn 0.015 0.500 0.717
Zn2 Zn 0.077 0.000 0.910
Zn3 Zn 0.200 0.500 0.657
# DFT total energy ... -2.87 eV/atom
# ΔE to the lowest computed polymorph ... 90.0 meV per atom
# D(E_F) ... 13.16 states/eV per cell
# V ... 21.97 Å³/atom
# Calculated formation energy ... -22.9 kJ/mol of atoms

***

[3]
# Cs3SnTe2 (PBE, relaxed)
data_Cs3SnTe2
_chemical_formula_sum 'Cs12 Sn4 Te8'
_symmetry_space_group_name_H-M 'I b a m'
_symmetry_Int_Tables_number 72
_symmetry_space_group_name_Hall '-I 2 2c'
_cell_length_a 8.887
_cell_length_b 16.939
_cell_length_c 9.337
_cell_angle_alpha 90.00
_cell_angle_beta 90.00
_cell_angle_gamma 90.00
loop_
_atom_site_label
_atom_site_type_symbol
_atom_site_fract_x
_atom_site_fract_y
_atom_site_fract_z
Cs1 Cs 0.000 0.000 0.250
Cs2 Cs 0.000 0.267 0.250
Sn1 Sn 0.000 0.500 0.000
Te1 Te 0.240 0.125 0.000
# DFT total energy ... -2.75 eV/atom
# Formation energy from raw total energies ... -3.63 eV/f.u.
# D(E_F) ... 16.43 states/eV per cell
# V ... 58.57 Å³/atom

***

[4]
# MgTl16Sn12 (PBE, relaxed)
data_MgTl16Sn12
_chemical_formula_sum 'Mg2 Tl32 Sn24'
_symmetry_space_group_name_H-M 'C 1 m 1'
_symmetry_Int_Tables_number 8
_cell_length_a 12.020
_cell_length_b 17.122
_cell_length_c 10.378
_cell_angle_alpha 90.00
_cell_angle_beta 125.30
_cell_angle_gamma 90.00
loop_
_symmetry_equiv_pos_as_xyz
'x,y,z'
'x,-y,z'
'x+1/2,y+1/2,z'
'x+1/2,-y+1/2,z'
loop_
_atom_site_label
_atom_site_type_symbol
_atom_site_fract_x
_atom_site_fract_y
_atom_site_fract_z
Mg1 Mg 0.000 0.000 0.000
Tl1 Tl 0.060 0.142 0.289
Tl2 Tl 0.090 0.200 0.978
Tl3 Tl 0.100 0.500 0.647
Tl4 Tl 0.104 0.500 0.291
Tl5 Tl 0.161 0.158 0.690
Tl6 Tl 0.240 0.000 0.933
Tl7 Tl 0.265 0.342 0.894
Tl8 Tl 0.284 0.323 0.294
Tl9 Tl 0.286 0.000 0.579
Tl10 Tl 0.404 0.199 0.607
Sn1 Sn 0.017 0.409 0.930
Sn2 Sn 0.109 0.320 0.479
Sn3 Sn 0.301 0.500 0.111
Sn4 Sn 0.320 0.088 0.284
Sn5 Sn 0.381 0.408 0.669
Sn6 Sn 0.423 0.180 0.106
Sn7 Sn 0.467 0.500 0.473
# DFT total energy ... -3.01 eV/atom
# D(E_F) ... 23.00 states/eV per cell
# V ... 30.06 Å³/atom
# Calculated formation energy ... 0.3 kJ/mol of atoms

***

[5]
# SrPr2Si6 (PBE, relaxed)
data_SrPr2Si6
_chemical_formula_sum 'Sr1 Pr2 Si6'
_symmetry_space_group_name_H-M 'P 6/m m m'
_symmetry_Int_Tables_number 191
_symmetry_space_group_name_Hall '-P 6 2'
_cell_length_a 7.1991
_cell_length_b 7.1991
_cell_length_c 4.3195
_cell_angle_alpha 90.00
_cell_angle_beta 90.00
_cell_angle_gamma 120.00
loop_
_atom_site_label
_atom_site_type_symbol
_atom_site_fract_x
_atom_site_fract_y
_atom_site_fract_z
Sr1 Sr 0.0000 0.0000 0.0000
Pr1 Pr 0.3333 0.6667 0.0000
Si1 Si 0.0000 0.3361 0.5000
# DFT total energy ... -5.34 eV/atom
# Formation energy from raw total energies ... -4.28 eV/f.u.
# D(E_F) ... 7.00 states/eV per cell
# V ... 21.54 Å³/atom

***

[6]
# Nd3Er4Tm5 (PBE, relaxed)
data_Nd3Er4Tm5
_chemical_formula_sum 'Nd6 Er8 Tm10'
_symmetry_space_group_name_H-M 'C 1 2/m 1'
_symmetry_Int_Tables_number 12
_cell_length_a 15.847
_cell_length_b 5.875
_cell_length_c 9.231
_cell_angle_alpha 90.00
_cell_angle_beta 116.21
_cell_angle_gamma 90.00
loop_
_symmetry_equiv_pos_as_xyz
'x,y,z'
'-x,-y,-z'
'-x,y,-z'
'x,-y,z'
'x+1/2,y+1/2,z'
'-x+1/2,-y+1/2,-z'
'-x+1/2,y+1/2,-z'
'x+1/2,-y+1/2,z'
loop_
_atom_site_label
_atom_site_type_symbol
_atom_site_fract_x
_atom_site_fract_y
_atom_site_fract_z
Nd1 Nd 0.000 0.000 0.000
Nd2 Nd 0.209 0.500 0.233
Er1 Er 0.082 0.500 0.442
Er2 Er 0.208 0.500 0.877
Tm1 Tm 0.000 0.500 0.000
Tm2 Tm 0.073 0.000 0.695
Tm3 Tm 0.172 0.000 0.387
# DFT total energy ... -4.33 eV/atom
# ΔE to the lowest computed polymorph ... 224.6 meV per atom
# D(E_F) ... 38.63 states/eV per cell
# V ... 32.13 Å³/atom
# Calculated formation energy ... 23.9 kJ/mol of atoms

***

[7]
# Pm6C2Br3N (PBE, relaxed)
data_Pm6C2Br3N
_chemical_formula_sum 'Pm12 C4 Br6 N2'
_symmetry_space_group_name_H-M 'C 1 2/m 1'
_symmetry_Int_Tables_number 12
_cell_length_a 6.503
_cell_length_b 11.264
_cell_length_c 7.664
_cell_angle_alpha 90.00
_cell_angle_beta 106.43
_cell_angle_gamma 90.00
loop_
_symmetry_equiv_pos_as_xyz
'x,y,z'
'-x,-y,-z'
'-x,y,-z'
'x,-y,z'
'x+1/2,y+1/2,z'
'-x+1/2,-y+1/2,-z'
'-x+1/2,y+1/2,-z'
'x+1/2,-y+1/2,z'
loop_
_atom_site_label
_atom_site_type_symbol
_atom_site_fract_x
_atom_site_fract_y
_atom_site_fract_z
Pm1 Pm 0.226 0.165 0.181
Pm2 Pm 0.229 0.500 0.181
C1 C 0.000 0.334 0.000
Br1 Br 0.000 0.168 0.500
Br2 Br 0.000 0.500 0.500
N1 N 0.000 0.000 0.000
# DFT total energy ... -6.12 eV/atom
# Formation energy from raw total energies ... -13.11 eV/f.u.
# D(E_F) ... 9.27 states/eV per cell
# V ... 22.44 Å³/atom

***

[8]
# LaFe3Os (PBE, relaxed)
data_LaFe3Os
_chemical_formula_sum 'La1 Fe3 Os1'
_symmetry_space_group_name_H-M 'P m -3 m'
_symmetry_Int_Tables_number 221
_symmetry_space_group_name_Hall '-P 4 2 3'
_cell_length_a 4.458
_cell_length_b 4.458
_cell_length_c 4.458
_cell_angle_alpha 90.00
_cell_angle_beta 90.00
_cell_angle_gamma 90.00
loop_
_atom_site_label
_atom_site_type_symbol
_atom_site_fract_x
_atom_site_fract_y
_atom_site_fract_z
La1 La 0.000 0.000 0.000
Fe1 Fe 0.000 0.000 0.500
Os1 Os 0.500 0.500 0.500
# DFT total energy ... -6.19 eV/atom
# ΔE to the lowest computed polymorph ... 1387.8 meV per atom
# D(E_F) ... 8.34 states/eV per cell
# V ... 17.71 Å³/atom
# Calculated formation energy ... 204.2 kJ/mol of atoms

***

[9]
# TaTl2Pb (PBE, relaxed)
data_TaTl2Pb
_chemical_formula_sum 'Ta2 Tl4 Pb2'
_symmetry_space_group_name_H-M 'C 1 m 1'
_symmetry_Int_Tables_number 8
_cell_length_a 11.612
_cell_length_b 3.133
_cell_length_c 5.636
_cell_angle_alpha 90.00
_cell_angle_beta 103.51
_cell_angle_gamma 90.00
loop_
_symmetry_equiv_pos_as_xyz
'x,y,z'
'x,-y,z'
'x+1/2,y+1/2,z'
'x+1/2,-y+1/2,z'
loop_
_atom_site_label
_atom_site_type_symbol
_atom_site_fract_x
_atom_site_fract_y
_atom_site_fract_z
Ta1 Ta 0.000 0.000 0.000
Tl1 Tl 0.029 0.500 0.501
Tl2 Tl 0.294 0.000 0.679
Pb1 Pb 0.240 0.500 0.147
# DFT total energy ... -4.51 eV/atom
# ΔE to the lowest computed polymorph ... 169.2 meV per atom
# D(E_F) ... 4.58 states/eV per cell
# V ... 24.92 Å³/atom
# Calculated formation energy ... 54.1 kJ/mol of atoms

***

[10]
# Tb2Sm8Tl (PBE, relaxed)
data_Tb2Sm8Tl
_chemical_formula_sum 'Tb4 Sm16 Tl2'
_symmetry_space_group_name_H-M 'I m m m'
_symmetry_Int_Tables_number 71
_symmetry_space_group_name_Hall '-I 2 2'
_cell_length_a 5.538
_cell_length_b 7.666
_cell_length_c 17.439
_cell_angle_alpha 90.00
_cell_angle_beta 90.00
_cell_angle_gamma 90.00
loop_
_atom_site_label
_atom_site_type_symbol
_atom_site_fract_x
_atom_site_fract_y
_atom_site_fract_z
Tb1 Tb 0.000 0.000 0.192
Sm1 Sm 0.000 0.239 0.000
Sm2 Sm 0.000 0.272 0.363
Sm3 Sm 0.000 0.500 0.180
Tl1 Tl 0.000 0.000 0.500
# DFT total energy ... -4.46 eV/atom
# ΔE to the lowest computed polymorph ... 64.4 meV per atom
# D(E_F) ... 34.79 states/eV per cell
# V ... 33.65 Å³/atom
# Calculated formation energy ... 2.4 kJ/mol of atoms